1.
# PBE Pm3Sm6Y2Ho, relaxed
# VASP energy = -4.992 eV/atom
# Calculated volume = 803.0 Å³ per cell
# M_tot = 0.000 μB/f.u.
data_Pm3Sm6Y2Ho
_cell_length_a 6.2711
_cell_length_b 10.8595
_cell_length_c 11.9741
_cell_angle_alpha 90.00
_cell_angle_beta 100.02
_cell_angle_gamma 90.00
_space_group_name_H-M_alt 'C 1 2/m 1'
_space_group_IT_number 12
_space_group_name_Hall '-C 2y'
loop_
_atom_site_label
_atom_site_fract_x
_atom_site_fract_y
_atom_site_fract_z
Pm1 0.0000 0.0000 0.0000
Pm2 0.0000 0.3334 0.0000
Sm1 0.2489 0.3338 0.7474
Sm2 0.2503 0.0000 0.7474
Y1 0.0000 0.1667 0.5000
Ho1 0.0000 0.5000 0.5000


2.
# PBE Pm6Sm2YHo, relaxed
# VASP energy = -4.785 eV/atom
# Calculated volume = 1364.7 Å³ per cell
# M_tot = 0.000 μB/f.u.
data_Pm6Sm2YHo
_cell_length_a 9.1917
_cell_length_b 15.4095
_cell_length_c 9.7245
_cell_angle_alpha 90.00
_cell_angle_beta 97.79
_cell_angle_gamma 90.00
_space_group_name_H-M_alt 'C 1 2/c 1'
_space_group_IT_number 15
_space_group_name_Hall '-C 2yc'
loop_
_atom_site_label
_atom_site_fract_x
_atom_site_fract_y
_atom_site_fract_z
Pm1 0.0594 0.1837 0.4455
Pm2 0.1045 0.3939 0.6187
Pm3 0.2068 0.2229 0.8114
Sm1 0.2499 0.0522 0.0433
Y1 0.0000 0.0230 0.7500
Ho1 0.0000 0.4096 0.2500


3.
# PBE Pm6Sm2Y3Ho, relaxed
# VASP energy = -5.148 eV/atom
# Calculated volume = 801.4 Å³ per cell
# M_tot = 0.000 μB/f.u.
data_Pm6Sm2Y3Ho
_cell_length_a 6.2752
_cell_length_b 10.8673
_cell_length_c 11.9355
_cell_angle_alpha 90.00
_cell_angle_beta 100.07
_cell_angle_gamma 90.00
_space_group_name_H-M_alt 'C 1 2/m 1'
_space_group_IT_number 12
_space_group_name_Hall '-C 2y'
loop_
_atom_site_label
_atom_site_fract_x
_atom_site_fract_y
_atom_site_fract_z
Pm1 0.2489 0.0000 0.2492
Pm2 0.2501 0.1663 0.7505
Sm1 0.0000 0.3333 0.5000
Y1 0.0000 0.1665 0.0000
Y2 0.0000 0.5000 0.0000
Ho1 0.0000 0.0000 0.5000


no.,energy of formation (meV per atom)
1,14
2,113
3,12